Material: GaNi3
Method: DFT, PBE
State: optimized geometry

E_tot, eV/atom: -5.22

Unit cell a=4.299 b=4.299 c=4.299 alpha=129.83 beta=129.83 gamma=73.68
Sites, in units of the cell vectors:
Ga: 0.000 0.000 0.000
Ni: 0.500 0.500 0.000
Ni: 0.750 0.250 0.500
Ni: 0.250 0.750 0.500

Material: SrHoAsO
Method: DFT, PBE
State: optimized geometry

E_tot, eV/atom: -5.95

Unit cell a=4.085 b=6.657 c=7.179 alpha=90.00 beta=90.00 gamma=90.00
Sites, in units of the cell vectors:
As: 0.000 0.234 0.322
As: 0.000 0.766 0.822
Ho: 0.000 0.630 0.446
Ho: 0.000 0.370 0.946
O: 0.500 0.739 0.385
O: 0.500 0.261 0.885
Sr: 0.500 0.947 0.101
Sr: 0.500 0.053 0.601

Material: KNaZrSe3
Method: DFT, PBE
State: optimized geometry

E_tot, eV/atom: -4.73

Unit cell a=7.659 b=7.659 c=10.977 alpha=90.00 beta=90.00 gamma=149.47
Sites, in units of the cell vectors:
K: 0.777 0.223 0.250
K: 0.223 0.777 0.750
Na: 0.070 0.930 0.250
Na: 0.930 0.070 0.750
Se: 0.126 0.874 0.021
Se: 0.450 0.550 0.250
Se: 0.126 0.874 0.479
Se: 0.874 0.126 0.521
Se: 0.550 0.450 0.750
Se: 0.874 0.126 0.979
Zr: 0.500 0.500 0.000
Zr: 0.500 0.500 0.500

Material: Hf6Ga16Ni7
Method: DFT, PBE
State: optimized geometry

E_tot, eV/atom: -5.54

Unit cell a=8.525 b=8.525 c=8.525 alpha=120.00 beta=90.00 gamma=120.00
Sites, in units of the cell vectors:
Ga: 0.338 0.676 0.015
Ga: 0.880 0.759 0.120
Ga: 0.361 0.241 0.120
Ga: 0.880 0.241 0.120
Ga: 0.662 0.324 0.338
Ga: 0.015 0.676 0.338
Ga: 0.662 0.676 0.338
Ga: 0.120 0.241 0.361
Ga: 0.880 0.759 0.639
Ga: 0.338 0.324 0.662
Ga: 0.985 0.324 0.662
Ga: 0.338 0.676 0.662
Ga: 0.120 0.241 0.880
Ga: 0.120 0.759 0.880
Ga: 0.639 0.759 0.880
Ga: 0.662 0.324 0.985
Hf: 0.691 0.000 0.309
Hf: 0.309 0.000 0.309
Hf: 0.309 0.617 0.309
Hf: 0.691 0.000 0.691
Hf: 0.309 0.000 0.691
Hf: 0.691 0.383 0.691
Ni: 0.000 0.000 0.000
Ni: 0.500 0.000 0.000
Ni: 0.000 0.500 0.000
Ni: 0.500 0.500 0.000
Ni: 0.000 0.000 0.500
Ni: 0.000 0.500 0.500
Ni: 0.500 0.500 0.500

Material: LuNbFe
Method: DFT, PBE
State: optimized geometry

DFT formation energy, meV/atom: 1482

Unit cell a=4.484 b=4.484 c=4.484 alpha=60.00 beta=60.00 gamma=60.00
Sites, in units of the cell vectors:
Fe: 0.250 0.250 0.250
Lu: 0.000 0.000 0.000
Nb: 0.750 0.750 0.750

Material: DyC2
Method: DFT, PBE
State: optimized geometry

E_tot, eV/atom: -7.87

Unit cell a=4.134 b=4.134 c=6.988 alpha=115.68 beta=115.68 gamma=52.44
Sites, in units of the cell vectors:
C: 0.945 0.445 0.050
C: 0.555 0.055 0.450
C: 0.445 0.945 0.550
C: 0.055 0.555 0.950
Dy: 0.748 0.252 0.250
Dy: 0.252 0.748 0.750

Material: DyErCd4
Method: DFT, PBE
State: optimized geometry

DFT formation energy, meV/atom: -318

Unit cell a=3.389 b=4.942 c=8.565 alpha=90.00 beta=90.02 gamma=90.00
Sites, in units of the cell vectors:
Cd: 0.495 0.500 0.166
Cd: 0.505 0.000 0.333
Cd: 0.495 0.000 0.667
Cd: 0.505 0.500 0.834
Dy: 0.000 0.500 0.500
Er: 0.000 0.000 0.000

Material: GdDyU
Method: DFT, PBE
State: optimized geometry

DFT formation energy, meV/atom: 1292

Unit cell a=5.239 b=5.239 c=5.239 alpha=60.00 beta=60.00 gamma=60.00
Sites, in units of the cell vectors:
Dy: 0.000 0.000 0.000
Gd: 0.500 0.500 0.500
U: 0.250 0.250 0.250

Material: GdNbNi
Method: DFT, PBE
State: optimized geometry

DFT formation energy, meV/atom: 360

Unit cell a=4.477 b=4.477 c=4.477 alpha=60.00 beta=60.00 gamma=60.00
Sites, in units of the cell vectors:
Gd: 0.250 0.250 0.250
Nb: 0.750 0.750 0.750
Ni: 0.000 0.000 0.000

Material: AgBPd2
Method: DFT, PBE
State: optimized geometry

E_tot, eV/atom: -4.36

Unit cell a=4.295 b=4.295 c=4.295 alpha=60.00 beta=60.00 gamma=60.00
Sites, in units of the cell vectors:
Ag: 0.250 0.250 0.250
B: 0.500 0.500 0.500
Pd: 0.000 0.000 0.000
Pd: 0.750 0.750 0.750

Material: SrZrB4
Method: DFT, PBE
State: optimized geometry

E_tot, eV/atom: -6.35

Unit cell a=5.105 b=5.105 c=5.105 alpha=143.36 beta=111.55 gamma=80.23
Sites, in units of the cell vectors:
B: 0.574 0.242 0.332
B: 0.090 0.758 0.332
B: 0.910 0.242 0.668
B: 0.426 0.758 0.668
Sr: 0.000 0.000 0.000
Zr: 0.500 0.500 0.000

Material: LiLuSb
Method: DFT, PBE
State: optimized geometry

E_tot, eV/atom: -4.07

Unit cell a=4.812 b=4.812 c=4.812 alpha=60.00 beta=60.00 gamma=60.00
Sites, in units of the cell vectors:
Li: 0.250 0.250 0.250
Lu: 0.750 0.750 0.750
Sb: 0.000 0.000 0.000

Material: OsOF2
Method: DFT, PBE
State: optimized geometry

E_tot, eV/atom: -6.24

Unit cell a=3.213 b=3.667 c=4.818 alpha=112.37 beta=109.48 gamma=90.00
Sites, in units of the cell vectors:
F: 0.652 0.152 0.305
F: 0.348 0.848 0.695
O: 0.000 0.500 0.000
Os: 0.000 0.000 0.000

Material: PrIrSe2O
Method: DFT, PBE
State: optimized geometry

E_tot, eV/atom: -6.62

Unit cell a=6.267 b=6.267 c=8.032 alpha=92.29 beta=92.29 gamma=36.48
Sites, in units of the cell vectors:
Ir: 0.500 0.500 0.000
Ir: 0.000 0.000 0.500
O: 0.330 0.330 0.059
O: 0.670 0.670 0.941
Pr: 0.779 0.779 0.197
Pr: 0.221 0.221 0.803
Se: 0.050 0.050 0.195
Se: 0.363 0.363 0.489
Se: 0.637 0.637 0.511
Se: 0.950 0.950 0.805

Material: TmTe2Os
Method: DFT, PBE
State: optimized geometry

E_tot, eV/atom: -5.44

Unit cell a=4.095 b=4.095 c=5.822 alpha=90.00 beta=90.00 gamma=90.00
Sites, in units of the cell vectors:
Os: 0.000 0.000 0.500
Te: 0.000 0.000 0.000
Te: 0.500 0.500 0.500
Tm: 0.500 0.500 0.000

Material: Sr2LiIrN2
Method: DFT, PBE
State: optimized geometry

E_tot, eV/atom: -5.69

Unit cell a=3.747 b=4.048 c=7.352 alpha=90.00 beta=90.00 gamma=90.00
Sites, in units of the cell vectors:
Ir: 0.500 0.000 0.000
Li: 0.500 0.000 0.500
N: 0.000 0.000 0.000
N: 0.500 0.500 0.500
Sr: 0.000 0.500 0.256
Sr: 0.000 0.500 0.744

Material: MgCdGePd
Method: DFT, PBE
State: optimized geometry

E_tot, eV/atom: -3.27

Unit cell a=4.709 b=4.709 c=4.709 alpha=60.00 beta=60.00 gamma=60.00
Sites, in units of the cell vectors:
Cd: 0.250 0.250 0.250
Ge: 0.000 0.000 0.000
Mg: 0.750 0.750 0.750
Pd: 0.500 0.500 0.500

Material: SmAsNO
Method: DFT, PBE
State: optimized geometry

E_tot, eV/atom: -6.87

Unit cell a=4.253 b=4.253 c=7.131 alpha=90.00 beta=90.00 gamma=90.00
Sites, in units of the cell vectors:
As: 0.000 0.000 0.500
As: 0.500 0.500 0.500
N: 0.000 0.500 0.489
N: 0.500 0.000 0.511
O: 0.000 0.000 0.000
O: 0.500 0.500 0.000
Sm: 0.000 0.500 0.144
Sm: 0.500 0.000 0.856

Material: PmInW
Method: DFT, PBE
State: optimized geometry

E_tot, eV/atom: -5.87

Unit cell a=4.859 b=4.859 c=4.859 alpha=60.00 beta=60.00 gamma=60.00
Sites, in units of the cell vectors:
In: 0.250 0.250 0.250
Pm: 0.750 0.750 0.750
W: 0.000 0.000 0.000

Material: NdB2Pt6
Method: DFT, PBE
State: optimized geometry

E_tot, eV/atom: -6.73

Unit cell a=5.636 b=5.636 c=5.557 alpha=90.00 beta=90.00 gamma=120.00
Sites, in units of the cell vectors:
B: 0.667 0.333 0.500
B: 0.333 0.667 0.500
Nd: 0.000 0.000 0.000
Pt: 0.500 0.000 0.247
Pt: 0.000 0.500 0.247
Pt: 0.500 0.500 0.247
Pt: 0.500 0.000 0.753
Pt: 0.000 0.500 0.753
Pt: 0.500 0.500 0.753

| no. | volume (Å³/atom) |
| --- | --- |
| 1 | 11.4 |
| 2 | 24.4 |
| 3 | 27.3 |
| 4 | 15.1 |
| 5 | 21.3 |
| 6 | 13.8 |
| 7 | 23.9 |
| 8 | 33.9 |
| 9 | 21.2 |
| 10 | 14.0 |
| 11 | 12.0 |
| 12 | 26.3 |
| 13 | 12.2 |
| 14 | 18.7 |
| 15 | 24.4 |
| 16 | 18.6 |
| 17 | 18.5 |
| 18 | 16.1 |
| 19 | 27.0 |
| 20 | 17.0 |